## La6AlNi2 (PBE)

Data for crystalline La6AlNi2 at its relaxed geometry.

Cell: 8.7940 8.7940 8.7940 Å, 114.37 108.30 105.87°
Fractional positions:
1 La 0.0437 0.2349 0.8088
2 La 0.1717 0.2933 0.4650
3 La 0.1717 0.7067 0.8784
4 La 0.3353 0.0223 0.6870
5 La 0.3353 0.6483 0.3130
6 La 0.4261 0.2349 0.1912
7 La 0.5739 0.7651 0.8088
8 La 0.6647 0.3517 0.6870
9 La 0.6647 0.9777 0.3130
10 La 0.8283 0.2933 0.1216
11 La 0.8283 0.7067 0.5350
12 La 0.9563 0.7651 0.1912
13 Al 0.0000 0.0000 0.0000
14 Al 0.5000 0.5000 0.0000
15 Ni 0.1315 0.6315 0.5000
16 Ni 0.2841 0.0000 0.2841
17 Ni 0.7159 0.0000 0.7159
18 Ni 0.8685 0.3685 0.5000

Results
For the size of the total moment, the calculation gives 0.0 μB/f.u. As for the symmetry: Immm, No. 71. Its formation energy is -0.248 eV/atom.

## TiMnSi3 (PBE)

Data for crystalline TiMnSi3 at its relaxed geometry.

Cell: 4.3335 4.3335 4.3335 Å, 90.00 90.00 90.00°
Fractional positions:
1 Ti 0.0000 0.0000 0.0000
2 Mn 0.5000 0.5000 0.5000
3 Si 0.0000 0.5000 0.5000
4 Si 0.5000 0.0000 0.5000
5 Si 0.5000 0.5000 0.0000

Results
Its energy above the most stable polymorph in this dataset is 0 meV per atom. For the formation energy without anion corrections, the calculation gives 485 meV per atom. For the size of the total moment, the calculation gives 0.0 μB/f.u. As for the symmetry: Pm-3m, No. 221.

## Ac2GePd6 (PBE)

Data for crystalline Ac2GePd6 at its relaxed geometry.

Cell: 6.3913 6.3913 6.3913 Å, 60.00 60.00 60.00°
Fractional positions:
1 Ac 0.2500 0.2500 0.2500
2 Ac 0.7500 0.7500 0.7500
3 Ge 0.0000 0.0000 0.0000
4 Pd 0.2763 0.2763 0.7237
5 Pd 0.2763 0.7237 0.2763
6 Pd 0.2763 0.7237 0.7237
7 Pd 0.7237 0.2763 0.2763
8 Pd 0.7237 0.2763 0.7237
9 Pd 0.7237 0.7237 0.2763

Results
Its energy above the most stable polymorph in this dataset is 0 meV per atom. For the size of the total moment, the calculation gives 0.0 μB/f.u. As for the symmetry: Fm-3m, No. 225. Its formation energy is -0.798 eV/atom.

## SmZnCd2 (PBE)

Data for crystalline SmZnCd2 at its relaxed geometry.

Cell: 5.0266 5.0266 5.0266 Å, 60.00 60.00 60.00°
Fractional positions:
1 Sm 0.0000 0.0000 0.0000
2 Zn 0.5000 0.5000 0.5000
3 Cd 0.2500 0.2500 0.2500
4 Cd 0.7500 0.7500 0.7500

Results
For the size of the total moment, the calculation gives 0.0 μB/f.u. As for the symmetry: Fm-3m, No. 225. Its formation energy is -0.209 eV/atom.

## Cs3Li2TmCl8 (PBE)

Data for crystalline Cs3Li2TmCl8 at its relaxed geometry.

Cell: 7.4429 7.4429 9.7600 Å, 90.00 90.00 120.00°
Fractional positions:
1 Cs 0.0000 0.0000 0.0000
2 Cs 0.3333 0.6667 0.6667
3 Cs 0.6667 0.3333 0.3333
4 Li 0.3333 0.6667 0.2276
5 Li 0.6667 0.3333 0.7724
6 Tm 0.0000 0.0000 0.5000
7 Cl 0.1636 0.3272 0.3429
8 Cl 0.1636 0.8364 0.3429
9 Cl 0.3272 0.1636 0.6571
10 Cl 0.3333 0.6667 0.0006
11 Cl 0.6667 0.3333 0.9994
12 Cl 0.6728 0.8364 0.3429
13 Cl 0.8364 0.1636 0.6571
14 Cl 0.8364 0.6728 0.6571

Results
For the formation energy without anion corrections, the calculation gives -2025 meV per atom. For the size of the total moment, the calculation gives 0.0 μB/f.u. As for the symmetry: P-3m1, No. 164.

## SbTeBr (PBE)

Data for crystalline SbTeBr at its relaxed geometry.

Cell: 7.7079 7.7079 7.7079 Å, 147.87 147.87 46.08°
Fractional positions:
1 Sb 0.0000 0.0000 0.0000
2 Te 0.4570 0.4570 0.0000
3 Br 0.1788 0.1788 0.0000

Results
For the formation energy without anion corrections, the calculation gives -235 meV per atom. For the size of the total moment, the calculation gives 0.0 μB/f.u. As for the symmetry: I4mm, No. 107.

## PaTaCo2Ge2 (PBE)

Data for crystalline PaTaCo2Ge2 at its relaxed geometry.

Cell: 4.1329 4.1329 6.6121 Å, 90.00 90.00 120.00°
Fractional positions:
1 Pa 0.0000 0.0000 0.0000
2 Ta 0.0000 0.0000 0.5000
3 Co 0.3333 0.6667 0.6730
4 Co 0.6667 0.3333 0.3270
5 Ge 0.3333 0.6667 0.2721
6 Ge 0.6667 0.3333 0.7279

Results
For the size of the total moment, the calculation gives 0.0 μB/f.u. As for the symmetry: P-3m1, No. 164. Its formation energy is -0.469 eV/atom.

## PuSc6S8 (PBE)

Data for crystalline PuSc6S8 at its relaxed geometry.

Cell: 7.4125 7.4125 7.4125 Å, 60.00 60.00 60.00°
Fractional positions:
1 Pu 0.0000 0.0000 0.0000
2 Sc 0.0000 0.0000 0.5000
3 Sc 0.0000 0.5000 0.0000
4 Sc 0.0000 0.5000 0.5000
5 Sc 0.5000 0.0000 0.0000
6 Sc 0.5000 0.0000 0.5000
7 Sc 0.5000 0.5000 0.0000
8 S 0.2500 0.2500 0.2500
9 S 0.2598 0.2598 0.7402
10 S 0.2598 0.7402 0.2598
11 S 0.2598 0.7402 0.7402
12 S 0.7402 0.2598 0.2598
13 S 0.7402 0.2598 0.7402
14 S 0.7402 0.7402 0.2598
15 S 0.7500 0.7500 0.7500

Results
For the formation energy without anion corrections, the calculation gives -1864 meV per atom. For the size of the total moment, the calculation gives 6.3 μB/f.u. As for the symmetry: Fm-3m, No. 225.